CsCa2ZnRu: optimized geometry, GGA-PBEsol.

For the formation enthalpy at 0 K, the calculation gives 0.297 eV per atom. Its symmetry is P4/mmm, No. 123.

Unit cell a=5.477 b=5.477 c=5.064 alpha=90.00 beta=90.00 gamma=90.00
Fractional positions:
Cs  0.000  0.000  0.000
Ca  0.000  0.500  0.500
Ca  0.500  0.000  0.500
Zn  0.500  0.500  0.000
Ru  0.500  0.500  0.500

***

CuPt2Rh: optimized geometry, GGA-PBEsol.

For the formation enthalpy at 0 K, the calculation gives -0.041 eV per atom. Its symmetry is I-4m2, No. 119.

Unit cell a=4.645 b=4.645 c=4.645 alpha=131.43 beta=131.43 gamma=71.12
Fractional positions:
Cu  0.000  0.000  0.000
Pt  0.500  0.500  0.000
Pt  0.750  0.250  0.500
Rh  0.250  0.750  0.500

***

Fe2ReSeCl: optimized geometry, GGA-PBEsol.

Its symmetry is P4/mmm, No. 123. Its formation energy (no corrections) is 122 kJ per mole of atoms.

Unit cell a=4.732 b=4.732 c=4.327 alpha=90.00 beta=90.00 gamma=90.00
Fractional positions:
Fe  0.000  0.500  0.000
Fe  0.500  0.000  0.000
Re  0.000  0.000  0.000
Se  0.500  0.500  0.500
Cl  0.000  0.000  0.500

***

LiFeSb2Te: optimized geometry, GGA-PBEsol.

Its symmetry is P4/mmm, No. 123. Its formation energy (no corrections) is 17 kJ per mole of atoms.

Unit cell a=4.700 b=4.700 c=5.773 alpha=90.00 beta=90.00 gamma=90.00
Fractional positions:
Li  0.000  0.000  0.000
Fe  0.500  0.500  0.500
Sb  0.000  0.500  0.500
Sb  0.500  0.000  0.500
Te  0.500  0.500  0.000

***

ZrGeTe: optimized geometry, GGA-PBEsol.

Its symmetry is P4/nmm, No. 129. Its formation energy (no corrections) is -84 kJ per mole of atoms.

Unit cell a=3.846 b=3.846 c=8.531 alpha=90.00 beta=90.00 gamma=90.00
Fractional positions:
Zr  0.250  0.250  0.248
Zr  0.750  0.750  0.752
Ge  0.250  0.750  0.000
Ge  0.750  0.250  0.000
Te  0.250  0.250  0.620
Te  0.750  0.750  0.380

***

InCoAg2: optimized geometry, GGA-PBEsol.

For the formation enthalpy at 0 K, the calculation gives 0.283 eV per atom. Its symmetry is Cmmm, No. 65.

Unit cell a=4.949 b=4.949 c=2.862 alpha=90.00 beta=90.00 gamma=112.69
Fractional positions:
In  0.000  0.000  0.000
Co  0.500  0.500  0.000
Ag  0.000  0.500  0.500
Ag  0.500  0.000  0.500

***

CaLa2Mg: optimized geometry, GGA-PBEsol.

For the formation enthalpy at 0 K, the calculation gives 0.011 eV per atom. Its symmetry is P4/mmm, No. 123.

Unit cell a=3.992 b=3.992 c=8.419 alpha=90.00 beta=90.00 gamma=90.00
Fractional positions:
Ca  0.000  0.000  0.000
La  0.500  0.500  0.283
La  0.500  0.500  0.717
Mg  0.000  0.000  0.500

***

SrCo2Cu: optimized geometry, GGA-PBEsol.

For the formation enthalpy at 0 K, the calculation gives 0.154 eV per atom. For the excess energy over the best structure of this formula in the dataset, the calculation gives 0 meV per atom. Its symmetry is R3m, No. 160.

Unit cell a=5.722 b=5.722 c=5.722 alpha=40.77 beta=40.77 gamma=40.77
Fractional positions:
Sr  0.000  0.000  0.000
Co  0.189  0.189  0.189
Co  0.513  0.513  0.513
Cu  0.808  0.808  0.808